! La4Pd2O PBE optimized geometry; values from VASP
&SYSTEM
  ibrav = 0, nat = 7, ntyp = 3
/
ATOMIC_SPECIES
Pd 106.42 Pd.upf
O 16.00 O.upf
La 138.91 La.upf
ATOMIC_POSITIONS crystal
Pd 0.630 0.630 0.740
Pd 0.370 0.370 0.260
O 0.000 0.000 0.000
La 0.500 0.000 0.000
La 0.813 0.813 0.375
La 0.000 0.500 0.000
La 0.187 0.187 0.625
CELL_PARAMETERS angstrom
4.938 0.000 0.000
0.000 4.938 0.000
2.469 2.469 7.559
! **Crystal system**: tetragonal
! **Formation energy without anion corrections**: -1209 meV per atom
! **DOS at the Fermi energy**: 7.4 states/eV per cell

! BaP2S2 PBE optimized geometry; values from VASP
&SYSTEM
  ibrav = 0, nat = 5, ntyp = 3
/
ATOMIC_SPECIES
S 32.06 S.upf
P 30.97 P.upf
Ba 137.33 Ba.upf
ATOMIC_POSITIONS crystal
S 0.500 0.500 0.500
S 0.000 0.000 0.500
P 0.000 0.500 0.000
P 0.500 0.000 0.000
Ba 0.000 0.000 0.000
CELL_PARAMETERS angstrom
6.536 0.000 0.000
0.000 6.536 0.000
0.000 0.000 5.973
! **Crystal system**: tetragonal
! **Formation energy without anion corrections**: 1453 meV per atom
! **ΔE to the lowest computed polymorph**: 1934.4 meV per atom
! **DOS at the Fermi energy**: 8.0 states/eV per cell

! BaYSn2 PBE optimized geometry; values from VASP
&SYSTEM
  ibrav = 0, nat = 4, ntyp = 3
/
ATOMIC_SPECIES
Y 88.91 Y.upf
Sn 118.71 Sn.upf
Ba 137.33 Ba.upf
ATOMIC_POSITIONS crystal
Y 0.000 0.000 0.000
Sn 0.275 0.275 0.176
Sn 0.725 0.725 0.824
Ba 0.500 0.500 0.500
CELL_PARAMETERS angstrom
-1.801 -4.570 1.343
2.001 -2.453 3.988
-4.191 0.474 5.644
! **Crystal system**: trigonal
! **ΔE to the lowest computed polymorph**: 154.3 meV per atom
! **DFT formation energy**: -1.94 eV/f.u.
! **DOS at the Fermi energy**: 4.4 states/eV per cell

! Ca3TcTe PBE optimized geometry; values from VASP
&SYSTEM
  ibrav = 0, nat = 5, ntyp = 3
/
ATOMIC_SPECIES
Te 127.60 Te.upf
Ca 40.08 Ca.upf
Tc 98.00 Tc.upf
ATOMIC_POSITIONS crystal
Te 0.500 0.500 0.500
Ca 0.000 0.000 0.500
Ca 0.000 0.500 0.000
Ca 0.500 0.000 0.000
Tc 0.000 0.000 0.000
CELL_PARAMETERS angstrom
5.390 0.000 0.000
0.000 5.390 0.000
0.000 0.000 5.390
! **Crystal system**: cubic
! **Formation energy without anion corrections**: 94 meV per atom
! **ΔE to the lowest computed polymorph**: 0.0 meV per atom
! **DOS at the Fermi energy**: 1.8 states/eV per cell